First-principles (PBE) data for crystalline LiHo4Cu2 at its relaxed geometry, as listed in Alexandria.

Cell: 7.134 6.985 8.659 Å, 110.75 113.00 103.53°
Positions (direct):
Ho (0.961, 0.224, 0.318)
Ho (0.431, 0.752, 0.898)
Ho (0.451, 0.112, 0.373)
Ho (0.871, 0.641, 0.171)
Ho (0.780, 0.131, 0.825)
Ho (0.261, 0.144, 0.713)
Ho (0.824, 0.635, 0.552)
Ho (0.333, 0.506, 0.151)
Cu (0.764, 0.942, 0.432)
Cu (0.639, 0.494, 0.752)
Cu (0.550, 0.226, 0.104)
Cu (0.984, 0.391, 0.718)
Li (0.353, 0.685, 0.518)
Li (0.049, 0.865, 0.974)

Summary:
* crystal system: triclinic
* total energy: -28.676 eV/f.u.
* DFT formation energy: -37 meV/atom
* M_tot: 0.0 μB per formula unit
* space group: P1, No. 1
* V: 23.9 Å³ per atom